[1]
# PBE Nd8Cd3Os2, optimized geometry
# - D(E_F) (states/eV/f.u.) = 12.1
# - ρ (kg/m3) = 8302
# - formation energy from the elements (eV per atom) = -0.055
# - crystal system = monoclinic
data_Nd8Cd3Os2
_chemical_formula_sum 'Nd16 Cd6 Os4'
_cell_length_a 17.954
_cell_length_b 8.334
_cell_length_c 5.010
_cell_angle_alpha 90.00
_cell_angle_beta 92.91
_cell_angle_gamma 90.00
_symmetry_space_group_name_H-M 'C 1 2/m 1'
_symmetry_Int_Tables_number 12
loop_
_symmetry_equiv_pos_as_xyz
'x,y,z'
'-x,-y,-z'
'-x,y,-z'
'x,-y,z'
'x+1/2,y+1/2,z'
'-x+1/2,-y+1/2,-z'
'-x+1/2,y+1/2,-z'
'x+1/2,-y+1/2,z'
loop_
_atom_site_label
_atom_site_type_symbol
_atom_site_fract_x
_atom_site_fract_y
_atom_site_fract_z
Nd1 Nd 0.071 0.000 0.254
Nd2 Nd 0.165 0.500 0.241
Nd3 Nd 0.171 0.217 0.753
Cd1 Cd 0.000 0.320 0.000
Cd2 Cd 0.000 0.500 0.500
Os1 Os 0.228 0.000 0.222

=====

[2]
# PBE PmNdCdOs, optimized geometry
# - D(E_F) (states/eV/f.u.) = 4.1
# - ρ (kg/m3) = 10094
# - formation energy from the elements (eV per atom) = -0.072
# - crystal system = cubic
data_PmNdCdOs
_chemical_formula_sum 'Pm4 Nd4 Cd4 Os4'
_cell_length_a 7.303
_cell_length_b 7.303
_cell_length_c 7.303
_cell_angle_alpha 90.00
_cell_angle_beta 90.00
_cell_angle_gamma 90.00
_symmetry_space_group_name_H-M 'F -4 3 m'
_symmetry_Int_Tables_number 216
_symmetry_space_group_name_Hall 'F -4 2 3'
loop_
_atom_site_label
_atom_site_type_symbol
_atom_site_fract_x
_atom_site_fract_y
_atom_site_fract_z
Pm1 Pm 0.000 0.000 0.000
Nd1 Nd 0.000 0.000 0.500
Cd1 Cd 0.250 0.250 0.750
Os1 Os 0.250 0.250 0.250

=====

[3]
# PBE NdScCdOs, optimized geometry
# - D(E_F) (states/eV/f.u.) = 3.4
# - ρ (kg/m3) = 9374
# - formation energy from the elements (eV per atom) = -0.110
# - crystal system = cubic
data_NdScCdOs
_chemical_formula_sum 'Nd4 Sc4 Cd4 Os4'
_cell_length_a 7.037
_cell_length_b 7.037
_cell_length_c 7.037
_cell_angle_alpha 90.00
_cell_angle_beta 90.00
_cell_angle_gamma 90.00
_symmetry_space_group_name_H-M 'F -4 3 m'
_symmetry_Int_Tables_number 216
_symmetry_space_group_name_Hall 'F -4 2 3'
loop_
_atom_site_label
_atom_site_type_symbol
_atom_site_fract_x
_atom_site_fract_y
_atom_site_fract_z
Nd1 Nd 0.000 0.000 0.000
Sc1 Sc 0.000 0.000 0.500
Cd1 Cd 0.250 0.250 0.750
Os1 Os 0.250 0.250 0.250

=====

[4]
# PBE TbNdCdOs, optimized geometry
# - D(E_F) (states/eV/f.u.) = 3.6
# - ρ (kg/m3) = 10660
# - formation energy from the elements (eV per atom) = -0.116
# - crystal system = cubic
data_TbNdCdOs
_chemical_formula_sum 'Tb4 Nd4 Cd4 Os4'
_cell_length_a 7.227
_cell_length_b 7.227
_cell_length_c 7.227
_cell_angle_alpha 90.00
_cell_angle_beta 90.00
_cell_angle_gamma 90.00
_symmetry_space_group_name_H-M 'F -4 3 m'
_symmetry_Int_Tables_number 216
_symmetry_space_group_name_Hall 'F -4 2 3'
loop_
_atom_site_label
_atom_site_type_symbol
_atom_site_fract_x
_atom_site_fract_y
_atom_site_fract_z
Tb1 Tb 0.000 0.000 0.000
Nd1 Nd 0.000 0.000 0.500
Cd1 Cd 0.250 0.250 0.750
Os1 Os 0.250 0.250 0.250

=====

[5]
# PBE NdYCdOs, optimized geometry
# - D(E_F) (states/eV/f.u.) = 3.5
# - ρ (kg/m3) = 9449
# - formation energy from the elements (eV per atom) = -0.120
# - crystal system = cubic
data_NdYCdOs
_chemical_formula_sum 'Nd4 Y4 Cd4 Os4'
_cell_length_a 7.222
_cell_length_b 7.222
_cell_length_c 7.222
_cell_angle_alpha 90.00
_cell_angle_beta 90.00
_cell_angle_gamma 90.00
_symmetry_space_group_name_H-M 'F -4 3 m'
_symmetry_Int_Tables_number 216
_symmetry_space_group_name_Hall 'F -4 2 3'
loop_
_atom_site_label
_atom_site_type_symbol
_atom_site_fract_x
_atom_site_fract_y
_atom_site_fract_z
Nd1 Nd 0.000 0.000 0.000
Y1 Y 0.000 0.000 0.500
Cd1 Cd 0.250 0.250 0.750
Os1 Os 0.250 0.250 0.250

=====

[6]
# PBE Nd2CdP, optimized geometry
# - D(E_F) (states/eV/f.u.) = 3.0
# - energy above the most stable polymorph in this dataset (kcal/mol of atoms) = 0.71
# - ρ (kg/m3) = 6194
# - formation energy from the elements (eV per atom) = -0.825
# - crystal system = trigonal
data_Nd2CdP
_chemical_formula_sum 'Nd6 Cd3 P3'
_cell_length_a 4.0836
_cell_length_b 4.0836
_cell_length_c 24.0521
_cell_angle_alpha 90.00
_cell_angle_beta 90.00
_cell_angle_gamma 120.00
_symmetry_space_group_name_H-M 'R 3 m'
_symmetry_Int_Tables_number 160
_symmetry_space_group_name_Hall 'R 3 -2"'
loop_
_atom_site_label
_atom_site_type_symbol
_atom_site_fract_x
_atom_site_fract_y
_atom_site_fract_z
Nd1 Nd 0.0000 0.0000 0.0000
Nd2 Nd 0.0000 0.0000 0.1986
Cd1 Cd 0.0000 0.0000 0.7662
P1 P 0.0000 0.0000 0.5991

=====

[7]
# PBE NdCdP, optimized geometry
# - D(E_F) (states/eV/f.u.) = 0.8
# - ρ (kg/m3) = 6323
# - formation energy from the elements (eV per atom) = -0.677
# - crystal system = orthorhombic
data_NdCdP
_chemical_formula_sum 'Nd4 Cd4 P4'
_cell_length_a 10.728
_cell_length_b 4.293
_cell_length_c 6.561
_cell_angle_alpha 90.00
_cell_angle_beta 90.00
_cell_angle_gamma 90.00
_symmetry_space_group_name_H-M 'P n m a'
_symmetry_Int_Tables_number 62
loop_
_symmetry_equiv_pos_as_xyz
'x,y,z'
'-x,-y,-z'
'-x+1/2,-y,z+1/2'
'x+1/2,y,-z+1/2'
'x+1/2,-y+1/2,-z+1/2'
'-x+1/2,y+1/2,z+1/2'
'-x,y+1/2,-z'
'x,-y+1/2,z'
loop_
_atom_site_label
_atom_site_type_symbol
_atom_site_fract_x
_atom_site_fract_y
_atom_site_fract_z
Nd1 Nd 0.164 0.250 0.037
Cd1 Cd 0.108 0.250 0.523
P1 P 0.076 0.750 0.773

=====

[8]
# PBE Nd2CdP, optimized geometry
# - D(E_F) (states/eV/f.u.) = 4.1
# - energy above the most stable polymorph in this dataset (kcal/mol of atoms) = 0.00
# - ρ (kg/m3) = 6206
# - formation energy from the elements (eV per atom) = -0.856
# - crystal system = trigonal
data_Nd2CdP
_chemical_formula_sum 'Nd6 Cd3 P3'
_cell_length_a 4.1117
_cell_length_b 4.1117
_cell_length_c 23.6783
_cell_angle_alpha 90.00
_cell_angle_beta 90.00
_cell_angle_gamma 120.00
_symmetry_space_group_name_H-M 'R -3 m'
_symmetry_Int_Tables_number 166
_symmetry_space_group_name_Hall '-R 3 2"'
loop_
_atom_site_label
_atom_site_type_symbol
_atom_site_fract_x
_atom_site_fract_y
_atom_site_fract_z
Nd1 Nd 0.0000 0.0000 0.2349
Cd1 Cd 0.0000 0.0000 0.0000
P1 P 0.0000 0.0000 0.5000

=====

[9]
# PBE Nd3CdP, optimized geometry
# - D(E_F) (states/eV/f.u.) = 8.0
# - ρ (kg/m3) = 5764
# - formation energy from the elements (eV per atom) = -0.510
# - crystal system = cubic
data_Nd3CdP
_chemical_formula_sum 'Nd3 Cd1 P1'
_cell_length_a 5.495
_cell_length_b 5.495
_cell_length_c 5.495
_cell_angle_alpha 90.00
_cell_angle_beta 90.00
_cell_angle_gamma 90.00
_symmetry_space_group_name_H-M 'P m -3 m'
_symmetry_Int_Tables_number 221
_symmetry_space_group_name_Hall '-P 4 2 3'
loop_
_atom_site_label
_atom_site_type_symbol
_atom_site_fract_x
_atom_site_fract_y
_atom_site_fract_z
Nd1 Nd 0.000 0.000 0.500
Cd1 Cd 0.500 0.500 0.500
P1 P 0.000 0.000 0.000

=====

[10]
# PBE NdCdP2Pt7, optimized geometry
# - D(E_F) (states/eV/f.u.) = 2.2
# - ρ (kg/m3) = 11489
# - formation energy from the elements (eV per atom) = -0.321
# - crystal system = tetragonal
data_NdCdP2Pt7
_chemical_formula_sum 'Nd2 Cd2 P4 Pt14'
_cell_length_a 4.052
_cell_length_b 4.052
_cell_length_c 29.650
_cell_angle_alpha 90.00
_cell_angle_beta 90.00
_cell_angle_gamma 90.00
_symmetry_space_group_name_H-M 'I -4 m 2'
_symmetry_Int_Tables_number 119
_symmetry_space_group_name_Hall 'I -4 -2'
loop_
_atom_site_label
_atom_site_type_symbol
_atom_site_fract_x
_atom_site_fract_y
_atom_site_fract_z
Nd1 Nd 0.000 0.000 0.000
Cd1 Cd 0.000 0.500 0.250
P1 P 0.000 0.000 0.381
Pt1 Pt 0.000 0.000 0.309
Pt2 Pt 0.000 0.000 0.500
Pt3 Pt 0.000 0.500 0.077
Pt4 Pt 0.000 0.500 0.577

=====

[11]
# PBE NdCd2P2Pt7, optimized geometry
# - D(E_F) (states/eV/f.u.) = 4.3
# - ρ (kg/m3) = 13195
# - formation energy from the elements (eV per atom) = -0.556
# - crystal system = monoclinic
data_NdCd2P2Pt7
_chemical_formula_sum 'Nd2 Cd4 P4 Pt14'
_cell_length_a 5.694
_cell_length_b 5.690
_cell_length_c 14.086
_cell_angle_alpha 90.00
_cell_angle_beta 97.80
_cell_angle_gamma 90.00
_symmetry_space_group_name_H-M 'C 1 2/m 1'
_symmetry_Int_Tables_number 12
loop_
_symmetry_equiv_pos_as_xyz
'x,y,z'
'-x,-y,-z'
'-x,y,-z'
'x,-y,z'
'x+1/2,y+1/2,z'
'-x+1/2,-y+1/2,-z'
'-x+1/2,y+1/2,-z'
'x+1/2,-y+1/2,z'
loop_
_atom_site_label
_atom_site_type_symbol
_atom_site_fract_x
_atom_site_fract_y
_atom_site_fract_z
Nd1 Nd 0.000 0.000 0.000
Cd1 Cd 0.095 0.000 0.404
P1 P 0.083 0.500 0.256
Pt1 Pt 0.000 0.500 0.000
Pt2 Pt 0.096 0.500 0.416
Pt3 Pt 0.196 0.250 0.836

=====

[12]
# PBE NdCdP2Rh5, optimized geometry
# - D(E_F) (states/eV/f.u.) = 4.4
# - ρ (kg/m3) = 8170
# - formation energy from the elements (eV per atom) = -0.521
# - crystal system = tetragonal
data_NdCdP2Rh5
_chemical_formula_sum 'Nd1 Cd1 P2 Rh5'
_cell_length_a 4.055
_cell_length_b 4.055
_cell_length_c 10.298
_cell_angle_alpha 90.00
_cell_angle_beta 90.00
_cell_angle_gamma 90.00
_symmetry_space_group_name_H-M 'P 4/m m m'
_symmetry_Int_Tables_number 123
_symmetry_space_group_name_Hall '-P 4 2'
loop_
_atom_site_label
_atom_site_type_symbol
_atom_site_fract_x
_atom_site_fract_y
_atom_site_fract_z
Nd1 Nd 0.000 0.000 0.000
Cd1 Cd 0.000 0.000 0.500
P1 P 0.500 0.500 0.220
Rh1 Rh 0.000 0.500 0.316
Rh2 Rh 0.500 0.500 0.000

=====

[13]
# PBE Nd2CdP3Rh12, optimized geometry
# - D(E_F) (states/eV/f.u.) = 18.4
# - ρ (kg/m3) = 9504
# - formation energy from the elements (eV per atom) = -0.193
# - crystal system = trigonal
data_Nd2CdP3Rh12
_chemical_formula_sum 'Nd6 Cd3 P9 Rh36'
_cell_length_a 8.9986
_cell_length_b 8.9986
_cell_length_c 12.9207
_cell_angle_alpha 90.00
_cell_angle_beta 90.00
_cell_angle_gamma 120.00
_symmetry_space_group_name_H-M 'R -3 m'
_symmetry_Int_Tables_number 166
_symmetry_space_group_name_Hall '-R 3 2"'
loop_
_atom_site_label
_atom_site_type_symbol
_atom_site_fract_x
_atom_site_fract_y
_atom_site_fract_z
Nd1 Nd 0.0000 0.0000 0.1264
Cd1 Cd 0.0000 0.0000 0.5000
P1 P 0.0000 0.5000 0.0000
Rh1 Rh 0.0047 0.5024 0.8286
Rh2 Rh 0.0281 0.5140 0.3802

=====

[14]
# PBE Nd2PaCd, optimized geometry
# - D(E_F) (states/eV/f.u.) = 4.3
# - energy above the most stable polymorph in this dataset (kcal/mol of atoms) = 0.00
# - ρ (kg/m3) = 9100
# - formation energy from the elements (eV per atom) = -0.010
# - crystal system = tetragonal
data_Nd2PaCd
_chemical_formula_sum 'Nd2 Pa1 Cd1'
_cell_length_a 3.486
_cell_length_b 3.486
_cell_length_c 9.491
_cell_angle_alpha 90.00
_cell_angle_beta 90.00
_cell_angle_gamma 90.00
_symmetry_space_group_name_H-M 'P 4/m m m'
_symmetry_Int_Tables_number 123
_symmetry_space_group_name_Hall '-P 4 2'
loop_
_atom_site_label
_atom_site_type_symbol
_atom_site_fract_x
_atom_site_fract_y
_atom_site_fract_z
Nd1 Nd 0.000 0.000 0.243
Pa1 Pa 0.500 0.500 0.500
Cd1 Cd 0.500 0.500 0.000

=====

[15]
# PBE Nd2PaCd, optimized geometry
# - D(E_F) (states/eV/f.u.) = 7.4
# - energy above the most stable polymorph in this dataset (kcal/mol of atoms) = 1.99
# - ρ (kg/m3) = 9252
# - formation energy from the elements (eV per atom) = 0.076
# - crystal system = tetragonal
data_Nd2PaCd
_chemical_formula_sum 'Nd2 Pa1 Cd1'
_cell_length_a 5.730
_cell_length_b 5.730
_cell_length_c 3.454
_cell_angle_alpha 90.00
_cell_angle_beta 90.00
_cell_angle_gamma 90.00
_symmetry_space_group_name_H-M 'P 4/m m m'
_symmetry_Int_Tables_number 123
_symmetry_space_group_name_Hall '-P 4 2'
loop_
_atom_site_label
_atom_site_type_symbol
_atom_site_fract_x
_atom_site_fract_y
_atom_site_fract_z
Nd1 Nd 0.000 0.500 0.000
Pa1 Pa 0.000 0.000 0.500
Cd1 Cd 0.500 0.500 0.500

=====

[16]
# PBE NdPaCd4, optimized geometry
# - D(E_F) (states/eV/f.u.) = 7.8
# - ρ (kg/m3) = 9230
# - formation energy from the elements (eV per atom) = -0.022
# - crystal system = cubic
data_NdPaCd4
_chemical_formula_sum 'Nd4 Pa4 Cd16'
_cell_length_a 8.404
_cell_length_b 8.404
_cell_length_c 8.404
_cell_angle_alpha 90.00
_cell_angle_beta 90.00
_cell_angle_gamma 90.00
_symmetry_space_group_name_H-M 'F -4 3 m'
_symmetry_Int_Tables_number 216
_symmetry_space_group_name_Hall 'F -4 2 3'
loop_
_atom_site_label
_atom_site_type_symbol
_atom_site_fract_x
_atom_site_fract_y
_atom_site_fract_z
Nd1 Nd 0.000 0.000 0.000
Pa1 Pa 0.250 0.250 0.250
Cd1 Cd 0.125 0.125 0.625

=====

[17]
# PBE Nd2PaCd, optimized geometry
# - D(E_F) (states/eV/f.u.) = 6.4
# - energy above the most stable polymorph in this dataset (kcal/mol of atoms) = 6.18
# - ρ (kg/m3) = 9140
# - formation energy from the elements (eV per atom) = 0.258
# - crystal system = trigonal
data_Nd2PaCd
_chemical_formula_sum 'Nd6 Pa3 Cd3'
_cell_length_a 3.3039
_cell_length_b 3.3039
_cell_length_c 36.4337
_cell_angle_alpha 90.00
_cell_angle_beta 90.00
_cell_angle_gamma 120.00
_symmetry_space_group_name_H-M 'R -3 m'
_symmetry_Int_Tables_number 166
_symmetry_space_group_name_Hall '-R 3 2"'
loop_
_atom_site_label
_atom_site_type_symbol
_atom_site_fract_x
_atom_site_fract_y
_atom_site_fract_z
Nd1 Nd 0.0000 0.0000 0.0891
Pa1 Pa 0.0000 0.0000 0.0000
Cd1 Cd 0.0000 0.0000 0.5000

=====

[18]
# PBE NdPaCdSn, optimized geometry
# - D(E_F) (states/eV/f.u.) = 8.9
# - ρ (kg/m3) = 9127
# - formation energy from the elements (eV per atom) = -0.113
# - crystal system = cubic
data_NdPaCdSn
_chemical_formula_sum 'Nd4 Pa4 Cd4 Sn4'
_cell_length_a 7.614
_cell_length_b 7.614
_cell_length_c 7.614
_cell_angle_alpha 90.00
_cell_angle_beta 90.00
_cell_angle_gamma 90.00
_symmetry_space_group_name_H-M 'F -4 3 m'
_symmetry_Int_Tables_number 216
_symmetry_space_group_name_Hall 'F -4 2 3'
loop_
_atom_site_label
_atom_site_type_symbol
_atom_site_fract_x
_atom_site_fract_y
_atom_site_fract_z
Nd1 Nd 0.000 0.000 0.000
Pa1 Pa 0.000 0.000 0.500
Cd1 Cd 0.250 0.250 0.750
Sn1 Sn 0.250 0.250 0.250

=====

[19]
# PBE Nd2Cd3Pb, optimized geometry
# - D(E_F) (states/eV/f.u.) = 4.3
# - energy above the most stable polymorph in this dataset (kcal/mol of atoms) = 0.00
# - ρ (kg/m3) = 8493
# - formation energy from the elements (eV per atom) = -0.380
# - crystal system = orthorhombic
data_Nd2Cd3Pb
_chemical_formula_sum 'Nd16 Cd24 Pb8'
_cell_length_a 7.415
_cell_length_b 10.084
_cell_length_c 17.425
_cell_angle_alpha 90.00
_cell_angle_beta 90.00
_cell_angle_gamma 90.00
_symmetry_space_group_name_H-M 'F m m m'
_symmetry_Int_Tables_number 69
_symmetry_space_group_name_Hall '-F 2 2'
loop_
_atom_site_label
_atom_site_type_symbol
_atom_site_fract_x
_atom_site_fract_y
_atom_site_fract_z
Nd1 Nd 0.247 0.000 0.000
Nd2 Nd 0.250 0.250 0.250
Cd1 Cd 0.000 0.000 0.163
Cd2 Cd 0.000 0.246 0.081
Pb1 Pb 0.000 0.000 0.334

=====

[20]
# PBE Nd5Cd4Pb, optimized geometry
# - D(E_F) (states/eV/f.u.) = 11.8
# - ρ (kg/m3) = 7872
# - formation energy from the elements (eV per atom) = -0.357
# - crystal system = tetragonal
data_Nd5Cd4Pb
_chemical_formula_sum 'Nd5 Cd4 Pb1'
_cell_length_a 3.831
_cell_length_b 3.831
_cell_length_c 19.811
_cell_angle_alpha 90.00
_cell_angle_beta 90.00
_cell_angle_gamma 90.00
_symmetry_space_group_name_H-M 'P 4/m m m'
_symmetry_Int_Tables_number 123
_symmetry_space_group_name_Hall '-P 4 2'
loop_
_atom_site_label
_atom_site_type_symbol
_atom_site_fract_x
_atom_site_fract_y
_atom_site_fract_z
Nd1 Nd 0.000 0.000 0.000
Nd2 Nd 0.000 0.000 0.197
Nd3 Nd 0.000 0.000 0.394
Cd1 Cd 0.500 0.500 0.099
Cd2 Cd 0.500 0.500 0.293
Pb1 Pb 0.500 0.500 0.500